## FeSnB (PBE-GGA)

Data for FeSnB after structural relaxation.

As for the space-group type: No. 69. The value obtained for the total moment is 0.306 Bohr magnetons per cell. The total energy is -6.02 eV per atom.

```
FeSnB
1.0
-4.447 2.661 2.644
-3.446 4.599 -0.735
-3.499 -1.151 -1.615
Fe B Sn
2 2 2
Cartesian
-8.544 4.582 0.221
-2.848 1.527 0.074
-6.614 4.812 0.884
-4.778 1.297 -0.589
-4.535 3.852 -0.308
-6.857 2.257 0.602
```

---

## FeSnB2 (PBE-GGA)

Data for FeSnB2 after structural relaxation.

As for the space-group type: No. 216. The value obtained for the total moment is 1.435 Bohr magnetons per cell. The total energy is -4.83 eV per atom.

```
FeSnB2
1.0
-0.116 -3.657 1.856
-2.687 -0.681 3.025
-3.186 -2.511 -0.613
B Sn Fe
2 1 1
Cartesian
-4.492 -5.137 3.201
0.000 0.000 0.000
-2.995 -3.424 2.134
-1.497 -1.712 1.067
```

---

## FeSn2B (PBE-GGA)

Data for FeSn2B after structural relaxation.

As for the space-group type: No. 216. The value obtained for the total moment is 2.358 Bohr magnetons per cell. The total energy is -4.50 eV per atom.

```
FeSn2B
1.0
-4.279 -0.306 1.618
-2.961 3.433 -0.684
-3.513 -0.545 -2.896
Sn B Fe
2 1 1
Cartesian
0.000 0.000 0.000
-8.064 1.937 -1.472
-5.376 1.291 -0.981
-2.688 0.646 -0.490
```

---

## FeSnB4 (PBE-GGA)

Data for FeSnB4 after structural relaxation.

As for the space-group type: No. 191. The value obtained for the total moment is 2.295 Bohr magnetons per cell. The total energy is -6.23 eV per atom.

```
FeSnB4
1.0
2.999 0.000 0.000
-1.499 2.597 0.000
0.000 0.000 8.235
Fe B Sn
1 4 1
Cartesian
0.000 0.000 0.000
0.000 1.731 1.483
1.499 0.866 1.483
0.000 1.731 6.752
1.499 0.866 6.752
0.000 0.000 4.117
```

---

## Sr2FeB (PBE-GGA)

Data for Sr2FeB after structural relaxation.

As for the space-group type: No. 216. The value obtained for the total moment is 2.996 Bohr magnetons per cell. The total energy is -3.48 eV per atom.

```
Sr2FeB
1.0
0.470 -4.338 -2.045
0.008 -3.966 2.737
-3.751 -3.023 -0.127
Sr Fe B
2 1 1
Cartesian
0.000 0.000 0.000
-2.454 -8.495 0.424
-0.818 -2.832 0.141
-1.636 -5.664 0.282
```

---

## SrFeB (PBE-GGA)

Data for SrFeB after structural relaxation.

As for the space-group type: No. 216. The value obtained for the total moment is 2.371 Bohr magnetons per cell. The total energy is -3.56 eV per atom.

```
SrFeB
1.0
0.000 3.304 3.304
3.304 0.000 3.304
3.304 3.304 0.000
Fe B Sr
1 1 1
Cartesian
4.956 4.956 4.956
1.652 1.652 1.652
0.000 0.000 0.000
```

---

## SrFeB (PBE-GGA)

Data for SrFeB after structural relaxation.

As for the space-group type: No. 216. The value obtained for the total moment is 1.021 Bohr magnetons per cell. The total energy is -4.22 eV per atom.

```
SrFeB
1.0
0.989 -0.596 4.012
-2.845 0.690 2.976
-1.644 -3.211 2.100
Fe B Sr
1 1 1
Cartesian
0.000 0.000 0.000
-0.875 -0.779 2.272
-2.625 -2.338 6.816
```

---

## SrFeB2 (PBE-GGA)

Data for SrFeB2 after structural relaxation.

As for the space-group type: No. 216. The value obtained for the total moment is 2.451 Bohr magnetons per cell. The total energy is -4.18 eV per atom.

```
SrFeB2
1.0
0.000 3.050 3.050
3.050 0.000 3.050
3.050 3.050 0.000
B Fe Sr
2 1 1
Cartesian
0.000 0.000 0.000
4.575 4.575 4.575
1.525 1.525 1.525
3.050 3.050 3.050
```

---

## SrFeB (PBE-GGA)

Data for SrFeB after structural relaxation.

As for the space-group type: No. 216. The value obtained for the total moment is 2.239 Bohr magnetons per cell. The total energy is -4.48 eV per atom.

```
SrFeB
1.0
0.000 3.095 3.095
3.095 0.000 3.095
3.095 3.095 0.000
Sr Fe B
1 1 1
Cartesian
1.547 1.547 1.547
4.642 4.642 4.642
0.000 0.000 0.000
```

---

## TaFeB (PBE-GGA)

Data for TaFeB after structural relaxation.

As for the space-group type: No. 189. The value obtained for the total moment is 0.568 Bohr magnetons per cell. The total energy is -9.57 eV per atom.

```
TaFeB
1.0
5.962 0.000 0.000
-2.981 5.164 0.000
0.000 0.000 3.200
B Ta Fe
3 3 3
Cartesian
0.000 0.000 1.600
0.000 3.442 0.000
2.981 1.721 0.000
-1.754 3.038 1.600
1.227 2.125 1.600
3.509 0.000 1.600
1.425 0.000 0.000
-0.712 1.234 0.000
2.269 3.930 0.000
```

---

## TaFeB (PBE-GGA)

Data for TaFeB after structural relaxation.

As for the space-group type: No. 216. The value obtained for the total moment is 0.289 Bohr magnetons per cell. The total energy is -8.06 eV per atom.

```
TaFeB
1.0
-1.902 -2.896 -1.814
-3.910 -0.057 -0.025
-1.945 0.715 -3.317
Fe Ta B
1 1 1
Cartesian
-5.818 -1.678 -3.867
0.000 0.000 0.000
-1.939 -0.559 -1.289
```

---

## TaFeB (PBE-GGA)

Data for TaFeB after structural relaxation.

As for the space-group type: No. 194. The value obtained for the total moment is 4.193 Bohr magnetons per cell. The total energy is -9.04 eV per atom.

```
TaFeB
1.0
-3.804 1.616 -0.075
1.313 -2.342 -3.143
-1.681 -3.858 2.173
B Ta Fe
2 2 2
Cartesian
-0.813 -1.987 -1.577
-3.359 -2.597 0.532
-2.519 -0.668 -0.554
-1.654 -3.916 -0.491
-0.841 -1.929 1.086
0.000 0.000 0.000
```

---

## TaFeB (PBE-GGA)

Data for TaFeB after structural relaxation.

As for the space-group type: No. 62. The value obtained for the total moment is 3.502 Bohr magnetons per cell. The total energy is -9.00 eV per atom.

```
TaFeB
1.0
-1.289 -2.367 4.894
2.726 0.882 1.145
-3.416 7.204 2.585
B Fe Ta
4 4 4
Cartesian
0.660 0.108 4.582
-2.639 5.611 4.042
-2.585 2.952 5.959
0.605 2.767 2.664
-0.649 -1.414 4.714
-1.331 7.133 3.910
-0.677 3.211 5.374
-1.303 2.508 3.249
-0.320 4.989 3.155
-0.285 0.375 2.470
-1.694 5.344 6.154
-1.660 0.730 5.469
```

---

## TaFeB (PBE-GGA)

Data for TaFeB after structural relaxation.

As for the space-group type: No. 189. The value obtained for the total moment is 5.176 Bohr magnetons per cell. The total energy is -8.94 eV per atom.

```
TaFeB
1.0
6.350 0.000 0.000
-3.175 5.499 0.000
0.000 0.000 3.087
Fe B Ta
3 3 3
Cartesian
-1.924 3.333 1.543
1.250 2.166 1.543
3.849 0.000 1.543
0.000 3.666 0.000
0.000 0.000 1.543
3.175 1.833 0.000
2.317 4.012 0.000
1.717 0.000 0.000
-0.858 1.487 0.000
```

---

## TaFeB (PBE-GGA)

Data for TaFeB after structural relaxation.

As for the space-group type: No. 186. The value obtained for the total moment is 0.025 Bohr magnetons per cell. The total energy is -9.13 eV per atom.

```
TaFeB
1.0
-2.331 -1.436 2.199
0.630 -1.496 -3.113
4.716 -3.567 2.669
B Fe Ta
2 2 2
Cartesian
3.366 -5.019 3.093
1.995 -3.255 -0.012
-0.352 -1.480 -1.340
1.019 -3.243 1.765
3.538 -2.676 2.002
1.180 -0.892 0.668
```

---

## TaFe2B (PBE-GGA)

Data for TaFe2B after structural relaxation.

As for the space-group type: No. 216. The value obtained for the total moment is 3.559 Bohr magnetons per cell. The total energy is -8.62 eV per atom.

```
TaFe2B
1.0
0.000 2.854 2.854
2.854 0.000 2.854
2.854 2.854 0.000
Fe Ta B
2 1 1
Cartesian
4.281 4.281 4.281
0.000 0.000 0.000
1.427 1.427 1.427
2.854 2.854 2.854
```

---

## TaFeB (PBE-GGA)

Data for TaFeB after structural relaxation.

As for the space-group type: No. 194. The value obtained for the total moment is 0.034 Bohr magnetons per cell. The total energy is -9.13 eV per atom.

```
TaFeB
1.0
3.495 0.000 0.000
-1.748 3.027 0.000
0.000 0.000 6.543
B Fe Ta
2 2 2
Cartesian
1.748 1.009 4.907
0.000 2.018 1.636
0.000 2.018 4.907
1.748 1.009 1.636
0.000 0.000 3.271
0.000 0.000 0.000
```

---

## TaFeB (PBE-GGA)

Data for TaFeB after structural relaxation.

As for the space-group type: No. 189. The value obtained for the total moment is 0.214 Bohr magnetons per cell. The total energy is -9.03 eV per atom.

```
TaFeB
1.0
6.360 0.000 0.000
-3.180 5.508 0.000
0.000 0.000 2.962
Ta B Fe
3 3 3
Cartesian
3.943 0.000 1.481
-1.971 3.415 1.481
1.209 2.094 1.481
2.274 3.939 0.000
-0.906 1.569 0.000
1.812 0.000 0.000
3.180 1.836 0.000
0.000 3.672 0.000
0.000 0.000 1.481
```

---

## TaFeB2 (PBE-GGA)

Data for TaFeB2 after structural relaxation.

As for the space-group type: No. 216. The value obtained for the total moment is 0.577 Bohr magnetons per cell. The total energy is -7.70 eV per atom.

```
TaFeB2
1.0
1.945 1.123 3.176
-1.945 1.123 3.176
0.000 -2.246 3.176
Fe B Ta
1 2 1
Cartesian
0.000 0.000 4.764
0.000 0.000 0.000
0.000 0.000 7.146
0.000 0.000 2.382
```

---

## TaFeB (PBE-GGA)

Data for TaFeB after structural relaxation.

As for the space-group type: No. 216. The value obtained for the total moment is 0.079 Bohr magnetons per cell. The total energy is -8.51 eV per atom.

```
TaFeB
1.0
0.000 2.695 2.695
2.695 0.000 2.695
2.695 2.695 0.000
Fe Ta B
1 1 1
Cartesian
0.000 0.000 0.000
4.042 4.042 4.042
1.347 1.347 1.347
```

---

## TaFeB2 (PBE-GGA)

Data for TaFeB2 after structural relaxation.

As for the space-group type: No. 38. The value obtained for the total moment is 1.717 Bohr magnetons per cell. The total energy is -8.87 eV per atom.

```
TaFeB2
1.0
-2.974 0.283 0.480
-0.630 -4.099 -1.490
-0.122 -4.085 1.648
B Ta Fe
2 1 1
Cartesian
-1.815 -3.426 0.309
-0.416 -4.525 0.087
-1.599 -1.082 0.264
-0.648 -7.051 0.136
```

---

## TaFeTcB (PBE-GGA)

Data for TaFeTcB after structural relaxation.

As for the space-group type: No. 216. The value obtained for the total moment is 3.393 Bohr magnetons per cell. The total energy is -8.80 eV per atom.

```
TaFeTcB
1.0
1.388 -3.932 -0.565
-1.804 -2.474 -2.886
2.091 -1.009 -3.509
Fe Ta Tc B
1 1 1 1
Cartesian
1.256 -5.561 -5.220
0.419 -1.854 -1.740
0.837 -3.708 -3.480
0.000 0.000 0.000
```

---

## TaFeTcB (PBE-GGA)

Data for TaFeTcB after structural relaxation.

As for the space-group type: No. 216. The value obtained for the total moment is 0.870 Bohr magnetons per cell. The total energy is -9.09 eV per atom.

```
TaFeTcB
1.0
2.862 2.894 0.728
-0.430 2.572 3.209
2.501 -0.343 3.275
Ta Tc Fe B
1 1 1 1
Cartesian
2.466 2.561 3.606
1.233 1.281 1.803
3.699 3.842 5.409
0.000 0.000 0.000
```

---

## TaFeBW (PBE-GGA)

Data for TaFeBW after structural relaxation.

As for the space-group type: No. 216. The value obtained for the total moment is 1.880 Bohr magnetons per cell. The total energy is -9.32 eV per atom.

```
TaFeBW
1.0
-1.529 -3.885 0.556
-1.278 -1.234 3.819
-4.103 -0.558 0.769
Ta Fe B W
1 1 1 1
Cartesian
-3.455 -2.838 2.572
-5.183 -4.257 3.858
0.000 0.000 0.000
-1.728 -1.419 1.286
```

---

## TaZnFeB (PBE-GGA)

Data for TaZnFeB after structural relaxation.

As for the space-group type: No. 216. The value obtained for the total moment is 0.002 Bohr magnetons per cell. The total energy is -6.55 eV per atom.

```
TaZnFeB
1.0
-0.345 -0.259 4.064
-2.048 2.872 2.064
-3.614 -0.885 1.692
Ta Zn B Fe
1 1 1 1
Cartesian
-3.003 0.864 3.911
-1.502 0.432 1.955
0.000 0.000 0.000
-4.505 1.296 5.866
```

---

## TaZnFeB (PBE-GGA)

Data for TaZnFeB after structural relaxation.

As for the space-group type: No. 216. The value obtained for the total moment is 0.041 Bohr magnetons per cell. The total energy is -6.63 eV per atom.

```
TaZnFeB
1.0
0.000 2.896 2.896
2.896 0.000 2.896
2.896 2.896 0.000
Ta Fe Zn B
1 1 1 1
Cartesian
1.448 1.448 1.448
4.344 4.344 4.344
2.896 2.896 2.896
0.000 0.000 0.000
```